MnAuO3: relaxed, GGA+U.

Calculated values
DFT total energy = -5.39 eV/atom

The structure in CIF format:
```
data_MnAuO3
_chemical_formula_sum 'Mn1 Au1 O3'
_symmetry_space_group_name_H-M 'P m -3 m'
_symmetry_Int_Tables_number 221
_symmetry_space_group_name_Hall '-P 4 2 3'
_cell_length_a 3.8059
_cell_length_b 3.8059
_cell_length_c 3.8059
_cell_angle_alpha 90.00
_cell_angle_beta 90.00
_cell_angle_gamma 90.00
loop_
_atom_site_label
_atom_site_fract_x
_atom_site_fract_y
_atom_site_fract_z
Mn1 0.0000 0.0000 0.0000
Au1 0.5000 0.5000 0.5000
O1 0.0000 0.0000 0.5000
```